1.
Ca3Mg, single point on PBEsol structure, DFT meta-GGA SCAN; calculated density = 1.73 Mg/m³; total energy = -0.3111 Ha/atom; D(E_F) = 3.66 states/eV per cell; symmetry = Fm-3m, No. 225; DFT formation energy = 10 kJ/mol of formula units
1.0
-0.084 2.240 5.361
2.217 -3.017 4.445
4.950 1.730 2.504
Ca Mg
3 1
direct
0.250 0.250 0.250
0.000 0.000 0.000
0.750 0.750 0.750
0.500 0.500 0.500

2.
OsPt2Cl, single point on PBEsol structure, DFT meta-GGA SCAN; raw formation energy = 0.438 eV/atom; calculated density = 16.57 Mg/m³; total energy = -2.0073 Ha/atom; D(E_F) = 1.87 states/eV per cell; symmetry = P4/mmm, No. 123; excess energy over the best structure of this formula in the dataset = 0 meV per atom
1.0
-0.620 2.332 -1.466
-2.553 0.076 1.202
2.831 4.359 5.738
Pt Os Cl
2 1 1
direct
0.000 0.000 0.269
0.000 0.000 0.731
0.500 0.500 0.500
0.500 0.500 0.000

3.
YHgW2, single point on PBEsol structure, DFT meta-GGA SCAN; calculated density = 14.57 Mg/m³; total energy = -2.1424 Ha/atom; D(E_F) = 2.14 states/eV per cell; symmetry = Pmmm, No. 47; DFT formation energy = 212 kJ/mol of formula units
1.0
3.470 0.000 0.000
0.000 4.511 0.000
0.000 0.000 4.783
W Y Hg
2 1 1
direct
0.500 0.500 0.000
0.000 0.000 0.000
0.500 0.000 0.500
0.000 0.500 0.500

4.
CaTaRh2, single point on PBEsol structure, DFT meta-GGA SCAN; calculated density = 10.57 Mg/m³; total energy = -1.3237 Ha/atom; D(E_F) = 2.03 states/eV per cell; symmetry = I-4m2, No. 119; DFT formation energy = -27 kJ/mol of formula units
1.0
3.807 0.000 0.000
0.000 3.807 0.000
-1.903 -1.903 4.626
Ta Rh Ca
1 2 1
direct
0.500 0.500 0.000
0.750 0.250 0.500
0.000 0.000 0.000
0.250 0.750 0.500

5.
NaBiMo2, single point on PBEsol structure, DFT meta-GGA SCAN; calculated density = 8.40 Mg/m³; total energy = -1.3518 Ha/atom; D(E_F) = 7.03 states/eV per cell; symmetry = I-42d, No. 122; DFT formation energy = 523 kJ/mol of formula units
1.0
-4.168 0.730 3.105
-5.505 -1.140 -2.687
-1.783 -5.026 3.223
Mo Na Bi
4 2 2
direct
0.089 0.536 0.036
0.661 0.464 0.964
0.875 0.036 0.464
0.375 0.964 0.536
0.250 0.500 0.500
0.500 0.000 0.000
0.000 0.000 0.000
0.750 0.500 0.500

6.
AlIO2, single point on PBEsol structure, DFT meta-GGA SCAN; raw formation energy = -0.238 eV/atom; calculated density = 4.65 Mg/m³; total energy = -0.5320 Ha/atom; D(E_F) = 3.39 states/eV per cell; symmetry = R-3m, No. 166; excess energy over the best structure of this formula in the dataset = 1354 meV per atom
1.0
-0.210 -3.079 1.089
2.359 -1.225 1.909
-2.793 0.858 6.807
O Al I
2 1 1
direct
0.921 0.921 0.236
0.079 0.079 0.764
0.000 0.000 0.000
0.500 0.500 0.500